[1]
A plane-wave DFT calculation with PBE was carried out for crystalline SrTb2CuO5 at its relaxed geometry.

a b c (Å): 6.5052 6.5052 11.4313
angles (deg): 90.00 90.00 90.00
Closest atoms and distances in Å follow each position.
Space group I4/mcm (No. 140)
Inequivalent atoms, fractional coordinates:
Sr 0.0000 0.0000 0.2500 [4 per cell]  10 O 2.86
Tb 0.1718 0.3282 0.0000 [8 per cell]  4 O 2.22-2.41
Cu 0.0000 0.5000 0.2500 [4 per cell]  4 O 1.94
O 0.0000 0.0000 0.0000 [4 per cell]  4 Tb 2.41
O 0.1460 0.3540 0.3723 [16 per cell]  1 Cu 1.94

## Properties
VASP energy in eV/cell: -253.7
Formation energy from raw total energies in eV per atom: -2.622
Crystal system: tetragonal

[2]
A plane-wave DFT calculation with PBE was carried out for crystalline PrY2TcO8 at its relaxed geometry.

a b c (Å): 7.1845 7.2292 6.8865
angles (deg): 90.00 90.00 90.00
Closest atoms and distances in Å follow each position.
Space group Cmmm (No. 65)
Inequivalent atoms, fractional coordinates:
Pr 0.0000 0.0000 0.0000 [2 per cell]  6 O 2.29-2.45
Y 0.0000 0.5000 0.2499 [4 per cell]  6 O 2.17-2.42
Tc 0.0000 0.0000 0.5000 [2 per cell]  6 O 1.91
O 0.0000 0.2646 0.5000 [4 per cell]  1 Tc 1.91
O 0.0000 0.3161 0.0000 [4 per cell]  2 Y 2.17, 1 Pr 2.29
O 0.1839 0.0000 0.2996 [8 per cell]  1 Tc 1.91

## Properties
VASP energy in eV/cell: -197.2
Formation energy from raw total energies in eV per atom: -2.572
Crystal system: orthorhombic

[3]
A plane-wave DFT calculation with PBE was carried out for crystalline Tb2Mn16Fe at its relaxed geometry.

a b c (Å): 8.6447 8.6447 11.6230
angles (deg): 90.00 90.00 120.00
Closest atoms and distances in Å follow each position.
Space group R3m (No. 160, hexagonal axes)
Inequivalent atoms, fractional coordinates:
Tb 0.0000 0.0000 0.0000 [3 per cell]  12 Mn 2.94-3.17, 1 Fe 2.95
Tb 0.0000 0.0000 0.2903 [3 per cell]  13 Mn 2.93-3.18
Mn 0.0000 0.0000 0.5452 [3 per cell]  1 Fe 2.33
Mn 0.0002 0.2750 0.6466 [18 per cell]  7 Mn 2.31-2.58
Mn 0.0138 0.5069 0.5079 [9 per cell]  8 Mn 2.46-2.69, 1 Fe 2.64
Mn 0.1678 0.3356 0.4795 [9 per cell]  8 Mn 2.31-2.47
Mn 0.1740 0.3480 0.1170 [9 per cell]  9 Mn 2.47-2.69
Fe 0.0000 0.0000 0.7461 [3 per cell]  4 Mn 2.33-2.60

## Properties
VASP energy in eV/cell: -492.8
Crystal system: trigonal

[4]
A plane-wave DFT calculation with PBE was carried out for crystalline HfTlFe4 at its relaxed geometry.

a b c (Å): 7.0032 7.0032 7.0032
angles (deg): 90.00 90.00 90.00
Closest atoms and distances in Å follow each position.
Space group F-43m (No. 216)
Inequivalent atoms, fractional coordinates:
Hf 0.0000 0.0000 0.0000 [4 per cell]  12 Fe 2.90, 4 Tl 3.03
Tl 0.2500 0.2500 0.7500 [4 per cell]  12 Fe 2.90, 4 Hf 3.03
Fe 0.1248 0.1248 0.3752 [16 per cell]  6 Fe 2.47-2.48

## Properties
VASP energy in eV/cell: -185.0
Crystal system: cubic

[5]
A plane-wave DFT calculation with PBE was carried out for crystalline AlSi2W at its relaxed geometry.

a b c (Å): 2.7671 2.7671 7.7606
angles (deg): 90.00 90.00 90.00
Closest atoms and distances in Å follow each position.
Space group P4mm (No. 99)
Inequivalent atoms, fractional coordinates:
Al 0.0000 0.0000 0.0000 [1 per cell]  4 Al 2.77, 4 Si 2.79, 4 W 2.80
Si 0.0000 0.0000 0.5004 [1 per cell]  4 W 2.71, 8 Si 2.73-2.77
Si 0.5000 0.5000 0.2557 [1 per cell]  8 Si 2.73-2.77, 4 Al 2.79
W 0.5000 0.5000 0.7425 [1 per cell]  4 Si 2.71, 4 W 2.77, 4 Al 2.80

## Properties
VASP energy in eV/cell: -26.5
Formation energy from raw total energies in eV per atom: 0.271
Crystal system: tetragonal